Computed, not measured: a geometry-optimized Ce3Sn5Au6 structure at the GGA-PBEsol level of DFT.

Structure (CIF):
```
data_Ce3Sn5Au6
_cell_length_a 4.523
_cell_length_b 13.390
_cell_length_c 10.261
_cell_angle_alpha 90.00
_cell_angle_beta 90.00
_cell_angle_gamma 90.00
_space_group_name_H-M_alt 'P m m n'
_space_group_IT_number 59
loop_
_space_group_symop_operation_xyz
'x,y,z'
'-x,-y,-z'
'-x+1/2,-y+1/2,z'
'x+1/2,y+1/2,-z'
'x+1/2,-y,-z'
'-x+1/2,y,z'
'-x,y+1/2,-z'
'x,-y+1/2,z'
loop_
_atom_site_label
_atom_site_type_symbol
_atom_site_fract_x
_atom_site_fract_y
_atom_site_fract_z
Ce1 Ce 0.250 0.069 0.247
Ce2 Ce 0.250 0.750 0.244
Sn1 Sn 0.250 0.085 0.877
Sn2 Sn 0.250 0.609 0.524
Sn3 Sn 0.250 0.750 0.775
Au1 Au 0.250 0.087 0.621
Au2 Au 0.250 0.250 0.038
Au3 Au 0.250 0.250 0.442
Au4 Au 0.250 0.606 0.978
```

## Properties
**Density of states at the Fermi level**: 1.42 states/eV per atom
**Energy of formation from the pure elements**: -7.829 eV/f.u.



Computed, not measured: a geometry-optimized NbP4S5Cl5 structure at the GGA-PBEsol level of DFT.

Structure (CIF):
```
data_NbP4S5Cl5
_cell_length_a 6.715
_cell_length_b 13.312
_cell_length_c 17.857
_cell_angle_alpha 90.00
_cell_angle_beta 105.08
_cell_angle_gamma 90.00
_space_group_name_H-M_alt 'P 1 21/c 1'
_space_group_IT_number 14
loop_
_space_group_symop_operation_xyz
'x,y,z'
'-x,-y,-z'
'-x,y+1/2,-z+1/2'
'x,-y+1/2,z+1/2'
loop_
_atom_site_label
_atom_site_type_symbol
_atom_site_fract_x
_atom_site_fract_y
_atom_site_fract_z
Nb1 Nb 0.219 0.197 0.033
P1 P 0.113 0.005 0.308
P2 P 0.185 0.133 0.615
P3 P 0.274 0.163 0.747
P4 P 0.419 0.570 0.204
S1 S 0.002 0.111 0.773
S2 S 0.116 0.578 0.910
S3 S 0.116 0.618 0.204
S4 S 0.383 0.018 0.601
S5 S 0.499 0.050 0.784
Cl1 Cl 0.089 0.133 0.134
Cl2 Cl 0.117 0.736 0.533
Cl3 Cl 0.259 0.050 0.975
Cl4 Cl 0.338 0.191 0.453
Cl5 Cl 0.458 0.709 0.376
```

## Properties
**Calculated total energy**: -4.973 eV/atom



Computed, not measured: a geometry-optimized Zn2Ni3Sb structure at the GGA-PBEsol level of DFT.

Structure (CIF):
```
data_Zn2Ni3Sb
_cell_length_a 4.1580
_cell_length_b 4.1580
_cell_length_c 5.1278
_cell_angle_alpha 90.00
_cell_angle_beta 90.00
_cell_angle_gamma 120.00
_space_group_name_H-M_alt 'P -3 m 1'
_space_group_IT_number 164
_space_group_name_Hall '-P 3 2"'
loop_
_atom_site_label
_atom_site_type_symbol
_atom_site_fract_x
_atom_site_fract_y
_atom_site_fract_z
Zn1 Zn 0.3333 0.6667 0.1398
Ni1 Ni 0.0000 0.0000 0.0000
Ni2 Ni 0.3333 0.6667 0.6612
Sb1 Sb 0.0000 0.0000 0.5000
```

## Properties
**Calculated total energy**: -4.568 eV/atom
**Density of states at the Fermi level**: 0.47 states/eV per atom



Computed, not measured: a geometry-optimized EuPb structure at the GGA-PBEsol level of DFT.

Structure (CIF):
```
data_EuPb
_cell_length_a 3.911
_cell_length_b 3.911
_cell_length_c 3.911
_cell_angle_alpha 90.00
_cell_angle_beta 90.00
_cell_angle_gamma 90.00
_space_group_name_H-M_alt 'P m -3 m'
_space_group_IT_number 221
_space_group_name_Hall '-P 4 2 3'
loop_
_atom_site_label
_atom_site_type_symbol
_atom_site_fract_x
_atom_site_fract_y
_atom_site_fract_z
Eu1 Eu 0.000 0.000 0.000
Pb1 Pb 0.500 0.500 0.500
```

## Properties
**Density of states at the Fermi level**: 4.05 states/eV per atom
**Energy of formation from the pure elements**: -1.137 eV/f.u.



Computed, not measured: a geometry-optimized HfNbIr2F structure at the GGA-PBEsol level of DFT.

Structure (CIF):
```
data_HfNbIr2F
_cell_length_a 4.394
_cell_length_b 4.394
_cell_length_c 4.032
_cell_angle_alpha 90.00
_cell_angle_beta 90.00
_cell_angle_gamma 90.00
_space_group_name_H-M_alt 'P 4/m m m'
_space_group_IT_number 123
_space_group_name_Hall '-P 4 2'
loop_
_atom_site_label
_atom_site_type_symbol
_atom_site_fract_x
_atom_site_fract_y
_atom_site_fract_z
Hf1 Hf 0.000 0.000 0.000
Nb1 Nb 0.500 0.500 0.000
Ir1 Ir 0.000 0.500 0.500
F1 F 0.000 0.000 0.500
```

## Properties
**Calculated total energy**: -8.499 eV/atom
**Density of states at the Fermi level**: 0.98 states/eV per atom



Computed, not measured: a geometry-optimized ThGe2Ir2 structure at the GGA-PBEsol level of DFT.

Structure (CIF):
```
data_ThGe2Ir2
_cell_length_a 4.222
_cell_length_b 4.222
_cell_length_c 10.119
_cell_angle_alpha 90.00
_cell_angle_beta 90.00
_cell_angle_gamma 90.00
_space_group_name_H-M_alt 'P 4/n m m'
_space_group_IT_number 129
loop_
_space_group_symop_operation_xyz
'x,y,z'
'-x,-y,-z'
'-y+1/2,x,z'
'y+1/2,-x,-z'
'-x+1/2,-y+1/2,z'
'x+1/2,y+1/2,-z'
'y,-x+1/2,z'
'-y,x+1/2,-z'
'x+1/2,-y,-z'
'-x+1/2,y,z'
'-y,-x,-z'
'y,x,z'
'-x,y+1/2,-z'
'x,-y+1/2,z'
'y+1/2,x+1/2,-z'
'-y+1/2,-x+1/2,z'
loop_
_atom_site_label
_atom_site_type_symbol
_atom_site_fract_x
_atom_site_fract_y
_atom_site_fract_z
Th1 Th 0.250 0.250 0.248
Ge1 Ge 0.250 0.250 0.633
Ge2 Ge 0.250 0.750 0.000
Ir1 Ir 0.250 0.250 0.871
Ir2 Ir 0.250 0.750 0.500
```

## Properties
**Density of states at the Fermi level**: 0.54 states/eV per atom
**Energy of formation from the pure elements**: -4.211 eV/f.u.